Entry 1:
A geometry-optimized LiTiVO4 structure, computed with PBEsol.

Computed properties:
- symmetry = No. 1
- crystal system = triclinic
- energy relative to the elements, uncorrected (eV/f.u.) = -18.0

a = 5.1559 Å, b = 5.8188 Å, c = 7.6412 Å
α = 100.89°, β = 107.22°, γ = 90.05°
Site moments in Bohr magnetons follow the coordinates.
Sites, in units of the cell vectors:
Li (0.0044, 0.5363, 0.0033)  0.00
Li (0.0055, 0.3195, 0.3284)  0.00
Li (0.9888, 0.1318, 0.6618)  0.00
Ti (0.4964, 0.2425, 0.0034)  0.31
Ti (0.5291, 0.5987, 0.3434)  0.23
Ti (0.4915, 0.4168, 0.6672)  0.19
V (0.5028, 0.7666, 0.9998)  1.54
V (0.4836, 0.0751, 0.3209)  1.56
V (0.4996, 0.9090, 0.6739)  1.57
O (0.7206, 0.0470, 0.1601)  0.02
O (0.7204, 0.5357, 0.1541)  0.01
O (0.7101, 0.8853, 0.4942)  0.01
O (0.7136, 0.3623, 0.4839)  0.01
O (0.7152, 0.6986, 0.8259)  0.01
O (0.7141, 0.2093, 0.8211)  0.01
O (0.2827, 0.3076, 0.1788)  0.01
O (0.2895, 0.7836, 0.1735)  0.00
O (0.2946, 0.6169, 0.5053)  0.01
O (0.2814, 0.1288, 0.5130)  0.01
O (0.2863, 0.4605, 0.8457)  0.01
O (0.2768, 0.9671, 0.8412)  0.02

Entry 2:
A geometry-optimized Li2TiVO4 structure, computed with PBEsol.

Computed properties:
- energy relative to the elements, uncorrected (eV/f.u.) = -20.0

a = 5.6654 Å, b = 5.6654 Å, c = 9.1608 Å
α = 108.01°, β = 108.01°, γ = 90.00°
Site moments in Bohr magnetons follow the coordinates.
Sites, in units of the cell vectors:
Li (0.1261, 0.6262, 0.7522)  0.00
Li (0.6262, 0.1261, 0.7522)  0.00
Li (0.3738, 0.3738, 0.2478)  0.00
Li (0.8739, 0.8739, 0.2478)  0.00
Li (0.0000, 0.5000, 0.0000)  0.00
Li (0.5000, 0.0000, 0.0000)  0.00
Li (0.2500, 0.2500, 0.5000)  0.00
Li (0.7500, 0.7500, 0.5000)  0.00
Ti (0.6238, 0.6238, 0.7477)  -0.06
Ti (0.1239, 0.1239, 0.7477)  -0.06
Ti (0.8761, 0.3762, 0.2523)  -0.06
Ti (0.3762, 0.8761, 0.2523)  -0.06
V (0.7500, 0.2500, 0.5000)  0.53
V (0.0000, 0.0000, 0.0000)  1.54
V (0.2500, 0.7500, 0.5000)  0.53
V (0.5000, 0.5000, 0.0000)  -1.53
O (0.4994, 0.4994, 0.4988)  0.00
O (0.9994, 0.9994, 0.4988)  0.00
O (0.7512, 0.2514, 0.0025)  0.00
O (0.2514, 0.7512, 0.0025)  0.00
O (0.7486, 0.7486, 0.9975)  0.00
O (0.2488, 0.2488, 0.9975)  0.00
O (0.0006, 0.5006, 0.5012)  0.00
O (0.5006, 0.0006, 0.5012)  0.00
O (0.8746, 0.3746, 0.7493)  0.01
O (0.3746, 0.8746, 0.7493)  0.01
O (0.1248, 0.1248, 0.2496)  0.00
O (0.6248, 0.6248, 0.2496)  0.00
O (0.8752, 0.8752, 0.7504)  0.00
O (0.3752, 0.3752, 0.7504)  0.00
O (0.1254, 0.6254, 0.2507)  0.01
O (0.6254, 0.1254, 0.2507)  0.01

Entry 3:
A geometry-optimized Li2Ti2V3O10 structure, computed with PBEsol.

Computed properties:
- symmetry = No. 1
- crystal system = triclinic
- energy relative to the elements, uncorrected (eV/f.u.) = -42.9

a = 4.9418 Å, b = 4.9950 Å, c = 7.7101 Å
α = 75.94°, β = 77.04°, γ = 78.68°
Site moments in Bohr magnetons follow the coordinates.
Sites, in units of the cell vectors:
Li (0.5380, 0.7777, 0.3918)  0.00
Li (0.4620, 0.2218, 0.6082)  0.00
Ti (0.0034, 0.8783, 0.6845)  0.07
Ti (0.9975, 0.1206, 0.3158)  0.07
V (0.5007, 0.0015, 0.9998)  1.46
V (0.9607, 0.3134, 0.9015)  1.31
V (0.0373, 0.6855, 0.0990)  1.29
O (0.2164, 0.9523, 0.8667)  0.00
O (0.7690, 0.9265, 0.5121)  0.00
O (0.7648, 0.6730, 0.9421)  -0.02
O (0.2743, 0.8034, 0.2183)  0.02
O (0.1729, 0.5158, 0.6933)  0.01
O (0.8270, 0.4836, 0.3071)  0.01
O (0.7255, 0.1977, 0.7800)  0.02
O (0.2357, 0.3283, 0.0577)  -0.02
O (0.2321, 0.0724, 0.4879)  0.00
O (0.7828, 0.0481, 0.1341)  0.00

Entry 4:
A geometry-optimized Li2TiV2O6 structure, computed with PBEsol.

Computed properties:
- symmetry = No. 64
- crystal system = orthorhombic
- energy relative to the elements, uncorrected (eV/f.u.) = -26.6

a = 4.9851 Å, b = 4.9851 Å, c = 10.0746 Å
α = 90.00°, β = 90.00°, γ = 119.44°
Site moments in Bohr magnetons follow the coordinates.
Sites, in units of the cell vectors:
Li (0.1483, 0.6483, 0.2500)  0.00
Li (0.3517, 0.8517, 0.7500)  0.00
Li (0.6483, 0.1483, 0.2500)  0.00
Li (0.8517, 0.3517, 0.7500)  0.00
Ti (0.5000, 0.5000, 0.0000)  0.33
Ti (0.0000, 0.0000, 0.5000)  0.33
V (0.1571, 0.8429, 0.0000)  1.54
V (0.6571, 0.3429, 0.5000)  1.54
V (0.3429, 0.6571, 0.5000)  1.54
V (0.8429, 0.1571, 0.0000)  1.54
O (0.6705, 0.6705, 0.3920)  0.02
O (0.8295, 0.8295, 0.8920)  0.02
O (0.1705, 0.1705, 0.1080)  0.02
O (0.3295, 0.3295, 0.6080)  0.02
O (0.1668, 0.5084, 0.8924)  0.01
O (0.8332, 0.4916, 0.1076)  0.01
O (0.0084, 0.6668, 0.6076)  0.01
O (0.3332, 0.9916, 0.3924)  0.01
O (0.4916, 0.8332, 0.1076)  0.01
O (0.6668, 0.0084, 0.6076)  0.01
O (0.9916, 0.3332, 0.3924)  0.01
O (0.5084, 0.1668, 0.8924)  0.01

Entry 5:
A geometry-optimized Li2TiVO4 structure, computed with PBEsol.

Computed properties:
- symmetry = No. 12
- crystal system = monoclinic
- energy relative to the elements, uncorrected (eV/f.u.) = -20.0

a = 5.1951 Å, b = 7.5265 Å, c = 7.5265 Å
α = 98.32°, β = 101.90°, γ = 101.90°
Site moments in Bohr magnetons follow the coordinates.
Sites, in units of the cell vectors:
Li (0.5041, 0.6249, 0.8749)  0.00
Li (0.4959, 0.3751, 0.1251)  0.00
Li (0.5041, 0.8749, 0.6249)  0.00
Li (0.4959, 0.1251, 0.3751)  0.00
Li (0.5000, 0.0000, 0.0000)  0.00
Li (0.5000, 0.7487, 0.2513)  0.00
Li (0.5000, 0.2513, 0.7487)  0.00
Li (0.5000, 0.5000, 0.5000)  0.00
Ti (0.0000, 0.5000, 0.0000)  -0.05
Ti (0.9927, 0.2577, 0.2577)  -0.14
Ti (0.0073, 0.7423, 0.7423)  -0.14
Ti (0.0000, 0.0000, 0.5000)  -0.05
V (0.0000, 0.8787, 0.1213)  1.59
V (0.0000, 0.1213, 0.8787)  1.59
V (0.0000, 0.6055, 0.3945)  -0.33
V (0.0000, 0.3945, 0.6055)  -0.33
O (0.2240, 0.3707, 0.8670)  0.01
O (0.2354, 0.1251, 0.1251)  0.02
O (0.2709, 0.6297, 0.6297)  0.00
O (0.2240, 0.8670, 0.3707)  0.01
O (0.7646, 0.8749, 0.8749)  0.02
O (0.7760, 0.6293, 0.1330)  0.01
O (0.7760, 0.1330, 0.6293)  0.01
O (0.7291, 0.3703, 0.3703)  0.00
O (0.2379, 0.7464, 0.9967)  0.01
O (0.2377, 0.5005, 0.2476)  -0.01
O (0.2379, 0.9967, 0.7464)  0.01
O (0.2377, 0.2476, 0.5005)  -0.01
O (0.7623, 0.4995, 0.7524)  -0.01
O (0.7621, 0.2536, 0.0033)  0.01
O (0.7623, 0.7524, 0.4995)  -0.01
O (0.7621, 0.0033, 0.2536)  0.01

Entry 6:
A geometry-optimized Li4TiV3O10 structure, computed with PBEsol.

Computed properties:
- symmetry = No. 115
- crystal system = tetragonal
- energy relative to the elements, uncorrected (eV/f.u.) = -43.4

a = 4.4858 Å, b = 6.5814 Å, c = 6.5814 Å
α = 90.00°, β = 90.00°, γ = 90.00°
Site moments in Bohr magnetons follow the coordinates.
Sites, in units of the cell vectors:
Li (0.0000, 0.2519, 0.2519)  0.00
Li (0.0000, 0.2519, 0.7481)  0.00
Li (0.0000, 0.7481, 0.7481)  0.00
Li (0.0000, 0.7481, 0.2519)  0.00
Ti (0.5000, 0.0000, 0.0000)  0.09
V (0.3952, 0.5000, 0.0000)  0.98
V (0.6048, 0.0000, 0.5000)  0.98
V (0.5000, 0.5000, 0.5000)  0.94
O (0.7649, 0.5000, 0.0000)  -0.04
O (0.2351, 0.0000, 0.5000)  -0.04
O (0.7333, 0.2818, 0.5000)  -0.02
O (0.2667, 0.5000, 0.7182)  -0.02
O (0.2667, 0.5000, 0.2818)  -0.02
O (0.7333, 0.7182, 0.5000)  -0.02
O (0.2596, 0.7780, 0.0000)  0.00
O (0.7404, 0.0000, 0.2220)  0.00
O (0.7404, 0.0000, 0.7780)  0.00
O (0.2596, 0.2220, 0.0000)  0.00

Entry 7:
A geometry-optimized Li4Ti2V7O18 structure, computed with PBEsol.

Computed properties:
- symmetry = No. 26
- crystal system = orthorhombic
- energy relative to the elements, uncorrected (eV/f.u.) = -75.4

a = 2.8160 Å, b = 9.0883 Å, c = 23.8128 Å
α = 90.00°, β = 90.00°, γ = 90.00°
Site moments in Bohr magnetons follow the coordinates.
Sites, in units of the cell vectors:
Li (0.5000, 0.9479, 0.9863)  0.00
Li (0.5000, 0.8540, 0.2210)  0.00
Li (0.5000, 0.1460, 0.7210)  0.00
Li (0.5000, 0.0521, 0.4863)  0.00
Li (0.5000, 0.4431, 0.5148)  0.00
Li (0.5000, 0.4098, 0.3011)  0.00
Li (0.5000, 0.5902, 0.8011)  0.00
Li (0.5000, 0.5569, 0.0148)  0.00
Ti (0.5000, 0.7537, 0.1042)  0.08
Ti (0.5000, 0.2463, 0.6042)  0.08
Ti (0.5000, 0.2423, 0.4000)  0.02
Ti (0.5000, 0.7577, 0.9000)  0.02
V (0.5000, 0.7411, 0.4816)  -0.03
V (0.5000, 0.7076, 0.3236)  0.41
V (0.0000, 0.8928, 0.5780)  1.21
V (0.0000, 0.9469, 0.8146)  1.29
V (0.0000, 0.0531, 0.3146)  1.29
V (0.0000, 0.1072, 0.0780)  1.21
V (0.5000, 0.2924, 0.8236)  0.41
V (0.5000, 0.2589, 0.9816)  -0.03
V (0.5000, 0.2271, 0.1997)  1.50
V (0.0000, 0.4031, 0.9109)  -0.20
V (0.0000, 0.4280, 0.6946)  1.22
V (0.0000, 0.5720, 0.1946)  1.22
V (0.0000, 0.5969, 0.4109)  -0.20
V (0.5000, 0.7729, 0.6997)  1.50
O (0.5000, 0.7546, 0.4009)  0.00
O (0.5000, 0.7588, 0.5650)  -0.01
O (0.0000, 0.8144, 0.9480)  0.00
O (0.0000, 0.7890, 0.1633)  0.00
O (0.0000, 0.8576, 0.6555)  -0.06
O (0.5000, 0.9011, 0.7580)  -0.05
O (0.0000, 0.8917, 0.4921)  0.00
O (0.0000, 0.8462, 0.2979)  -0.01
O (0.5000, 0.9628, 0.8663)  -0.01
O (0.5000, 0.9539, 0.0757)  -0.01
O (0.5000, 0.0461, 0.5757)  -0.01
O (0.5000, 0.0372, 0.3663)  -0.01
O (0.0000, 0.1538, 0.7979)  -0.01
O (0.0000, 0.1083, 0.9921)  0.00
O (0.5000, 0.0989, 0.2580)  -0.05
O (0.0000, 0.1424, 0.1555)  -0.06
O (0.0000, 0.2110, 0.6633)  0.00
O (0.0000, 0.1856, 0.4480)  0.00
O (0.5000, 0.2412, 0.0650)  -0.01
O (0.5000, 0.2454, 0.9009)  0.00
O (0.0000, 0.3136, 0.5584)  0.00
O (0.0000, 0.2649, 0.3397)  0.00
O (0.0000, 0.4402, 0.8304)  0.00
O (0.5000, 0.3624, 0.7445)  -0.02
O (0.0000, 0.4063, 0.9932)  0.00
O (0.0000, 0.3684, 0.2196)  -0.04
O (0.5000, 0.4508, 0.6426)  -0.01
O (0.5000, 0.4450, 0.4173)  0.00
O (0.5000, 0.5550, 0.9173)  0.00
O (0.5000, 0.5492, 0.1426)  -0.01
O (0.0000, 0.6316, 0.7196)  -0.04
O (0.0000, 0.5937, 0.4932)  0.00
O (0.5000, 0.6376, 0.2445)  -0.02
O (0.0000, 0.5598, 0.3304)  0.00
O (0.0000, 0.7351, 0.8397)  0.00
O (0.0000, 0.6864, 0.0584)  0.00

Entry 8:
A geometry-optimized Li2TiVO4 structure, computed with PBEsol.

Computed properties:
- symmetry = No. 119
- crystal system = tetragonal
- energy relative to the elements, uncorrected (eV/f.u.) = -19.9

a = 3.9957 Å, b = 3.9957 Å, c = 4.9981 Å
α = 113.56°, β = 113.56°, γ = 90.00°
Site moments in Bohr magnetons follow the coordinates.
Sites, in units of the cell vectors:
V (0.5000, 0.5000, 0.0000)  0.67
Li (0.7500, 0.2500, 0.5000)  0.00
Li (0.0000, 0.0000, 0.0000)  0.00
O (0.5005, 0.0005, 0.0009)  0.00
O (0.9995, 0.4995, 0.9991)  0.00
O (0.2501, 0.2501, 0.5003)  0.01
O (0.7499, 0.7499, 0.4997)  0.01
Ti (0.2500, 0.7500, 0.5000)  -0.15

Entry 9:
A geometry-optimized Li2TiVO4 structure, computed with PBEsol.

Computed properties:
- symmetry = No. 5
- crystal system = monoclinic
- energy relative to the elements, uncorrected (eV/f.u.) = -19.9

a = 5.7905 Å, b = 5.7905 Å, c = 8.1775 Å
α = 88.94°, β = 88.94°, γ = 89.95°
Site moments in Bohr magnetons follow the coordinates.
Sites, in units of the cell vectors:
Li (0.4951, 0.7454, 0.3791)  0.00
Li (0.0030, 0.2493, 0.8759)  0.00
Li (0.2546, 0.5049, 0.6209)  0.00
Li (0.7507, 0.9970, 0.1241)  0.00
Li (0.4921, 0.2511, 0.3733)  0.00
Li (0.9969, 0.7515, 0.8732)  0.00
Li (0.7489, 0.5079, 0.6267)  0.00
Li (0.2485, 0.0031, 0.1268)  0.00
Ti (0.9927, 0.7622, 0.3797)  -0.10
Ti (0.5056, 0.2436, 0.8716)  0.02
Ti (0.2378, 0.0073, 0.6203)  -0.10
Ti (0.7564, 0.4944, 0.1284)  0.02
V (0.2511, 0.5035, 0.1229)  1.62
V (0.4965, 0.7489, 0.8771)  1.62
V (0.7770, 0.0120, 0.6057)  -0.27
V (0.9880, 0.2230, 0.3943)  -0.27
O (0.0044, 0.2625, 0.6321)  0.00
O (0.5038, 0.7394, 0.1228)  0.02
O (0.7375, 0.9956, 0.3679)  0.00
O (0.2606, 0.4962, 0.8772)  0.02
O (0.2293, 0.4928, 0.3673)  0.01
O (0.7423, 0.9981, 0.8641)  0.01
O (0.0019, 0.2577, 0.1359)  0.01
O (0.5072, 0.7707, 0.6327)  0.01
O (0.2485, 0.9948, 0.3758)  0.00
O (0.7428, 0.4968, 0.8827)  0.01
O (0.0052, 0.7515, 0.6242)  0.00
O (0.5032, 0.2572, 0.1173)  0.01
O (0.9967, 0.7433, 0.1296)  0.01
O (0.5037, 0.2396, 0.6281)  0.00
O (0.7604, 0.4963, 0.3719)  0.00
O (0.2567, 0.0033, 0.8704)  0.01

Entry 10:
A geometry-optimized Li2TiV5O12 structure, computed with PBEsol.

Computed properties:
- symmetry = No. 5
- crystal system = monoclinic
- energy relative to the elements, uncorrected (eV/f.u.) = -47.7

a = 5.4359 Å, b = 6.7729 Å, c = 6.7729 Å
α = 74.45°, β = 70.42°, γ = 70.42°
Site moments in Bohr magnetons follow the coordinates.
Sites, in units of the cell vectors:
Li (0.5000, 0.3147, 0.6853)  0.00
Li (0.0000, 0.6866, 0.3134)  0.00
Ti (0.5000, 0.9311, 0.0689)  0.17
V (0.0000, 0.0661, 0.9339)  1.14
V (0.0745, 0.1608, 0.3812)  0.85
V (0.5791, 0.3735, 0.1587)  0.80
V (0.9255, 0.6188, 0.8392)  0.85
V (0.4209, 0.8413, 0.6265)  0.80
O (0.1006, 0.9741, 0.2088)  -0.01
O (0.0127, 0.0497, 0.6545)  -0.03
O (0.6025, 0.2040, 0.9739)  -0.02
O (0.2279, 0.3784, 0.3116)  -0.03
O (0.9873, 0.3455, 0.9503)  -0.03
O (0.7260, 0.3169, 0.3765)  -0.03
O (0.7721, 0.6884, 0.6216)  -0.03
O (0.5212, 0.6484, 0.0392)  -0.01
O (0.2740, 0.6235, 0.6831)  -0.03
O (0.8994, 0.7912, 0.0259)  -0.01
O (0.4788, 0.9608, 0.3515)  -0.01
O (0.3975, 0.0261, 0.7960)  -0.02

Entry 11:
A geometry-optimized Li2TiV2O6 structure, computed with PBEsol.

Computed properties:
- symmetry = No. 12
- crystal system = monoclinic
- energy relative to the elements, uncorrected (eV/f.u.) = -27.3

a = 2.8414 Å, b = 5.8562 Å, c = 6.7494 Å
α = 109.01°, β = 102.15°, γ = 90.00°
Site moments in Bohr magnetons follow the coordinates.
Sites, in units of the cell vectors:
Li (0.3512, 0.6872, 0.7024)  0.00
Li (0.6488, 0.3128, 0.2976)  0.00
Ti (0.0000, 0.5000, 0.0000)  0.00
V (0.6775, 0.8642, 0.3551)  0.17
V (0.3225, 0.1358, 0.6449)  0.17
O (0.1592, 0.6053, 0.3184)  0.00
O (0.8408, 0.3947, 0.6816)  0.00
O (0.4893, 0.2696, 0.9786)  0.00
O (0.5107, 0.7304, 0.0214)  0.00
O (0.8318, 0.9147, 0.6637)  0.00
O (0.1682, 0.0853, 0.3363)  0.00

Entry 12:
A geometry-optimized Li4TiV3O8 structure, computed with PBEsol.

Computed properties:
- symmetry = No. 166
- crystal system = trigonal
- energy relative to the elements, uncorrected (eV/f.u.) = -38.1

a = 5.6293 Å, b = 5.6293 Å, c = 5.9036 Å
α = 90.02°, β = 118.49°, γ = 119.96°
Site moments in Bohr magnetons follow the coordinates.
Sites, in units of the cell vectors:
Li (0.0000, 0.5000, 0.0000)  0.00
Li (0.5000, 0.0000, 0.0000)  0.00
Li (0.0000, 0.0000, 0.0000)  0.00
Li (0.5000, 0.5000, 0.0000)  0.00
Ti (0.5000, 0.0000, 0.5000)  0.12
V (0.0000, 0.0000, 0.5000)  0.95
V (0.5000, 0.5000, 0.5000)  0.95
V (0.0000, 0.5000, 0.5000)  0.94
O (0.4928, 0.7459, 0.7399)  0.02
O (0.9940, 0.2471, 0.7399)  0.02
O (0.4927, 0.2470, 0.7397)  0.02
O (0.0074, 0.2537, 0.2612)  0.01
O (0.9926, 0.7463, 0.7388)  0.01
O (0.5073, 0.7530, 0.2603)  0.02
O (0.0060, 0.7529, 0.2601)  0.02
O (0.5072, 0.2541, 0.2601)  0.02